Here is a relaxed Ce2ZnPd crystal from Alexandria. Energies are from PBE-GGA.

## Properties
- DOS at the Fermi energy: 11.9 states/eV per cell
- Crystal system: cubic
- Final energy: -4.94 eV/atom
- ΔE to the lowest computed polymorph: 0.0654 eV per atom
- Formation energy: -0.361 eV per atom

Cell and atoms, written as CIF:
```
data_Ce2ZnPd
_symmetry_space_group_name_H-M 'P 1'
_symmetry_Int_Tables_number 1
_symmetry_space_group_name_Hall 'P 1'
_cell_length_a 5.0929
_cell_length_b 5.0929
_cell_length_c 5.0929
_cell_angle_alpha 60.00
_cell_angle_beta 60.00
_cell_angle_gamma 60.00
loop_
_atom_site_label
_atom_site_fract_x
_atom_site_fract_y
_atom_site_fract_z
Ce1 0.2500 0.2500 0.2500
Ce2 0.7500 0.7500 0.7500
Zn1 0.0000 0.0000 0.0000
Pd1 0.5000 0.5000 0.5000
```